# 1
First-principles (PBE) data for a geometry-optimized ZrAgAs2 structure, as listed in the Alexandria database. Values from VASP.

Structure (Quantum ESPRESSO input):
```
&SYSTEM
  ibrav = 0, nat = 4, ntyp = 3
/
ATOMIC_SPECIES
Ag 107.87 Ag.upf
As 74.92 As.upf
Zr 91.22 Zr.upf
ATOMIC_POSITIONS crystal
Ag 0.500 0.500 0.000
As 0.500 0.000 0.500
As 0.000 0.000 0.000
Zr 0.000 0.500 0.500
CELL_PARAMETERS angstrom
7.391 -0.010 -0.021
-2.837 3.590 0.019
1.718 1.350 2.812
```

Properties
* space-group type: No. 12
* formation energy: -0.3993 eV/atom
* crystal system: monoclinic
* N(E_F): 0.43 states/eV/atom

# 2
First-principles (PBE) data for a geometry-optimized B5C7 structure, as listed in the Alexandria database. Values from VASP.

Structure (Quantum ESPRESSO input):
```
&SYSTEM
  ibrav = 0, nat = 12, ntyp = 2
/
ATOMIC_SPECIES
C 12.01 C.upf
B 10.81 B.upf
ATOMIC_POSITIONS crystal
C 0.500 0.857 0.340
C 0.000 0.665 0.929
C 0.000 0.323 0.588
C 0.000 0.002 0.253
C 0.500 0.169 0.898
C 0.500 0.857 0.575
C 0.500 0.160 0.664
B 0.500 0.487 0.951
B 0.000 0.980 0.007
B 0.000 0.309 0.342
B 0.000 0.647 0.676
B 0.500 0.543 0.277
CELL_PARAMETERS angstrom
-0.649 -2.448 0.115
4.257 -1.215 -1.841
2.501 -0.379 6.067
```

Properties
* distance to the lowest polymorph of the same formula: 140 meV per atom
* space-group type: No. 6
* formation energy: 0.3975 eV/atom
* crystal system: monoclinic
* N(E_F): 0.19 states/eV/atom

# 3
First-principles (PBE) data for a geometry-optimized Tm4CoTc structure, as listed in the Alexandria database. Values from VASP.

Structure (Quantum ESPRESSO input):
```
&SYSTEM
  ibrav = 0, nat = 12, ntyp = 3
/
ATOMIC_SPECIES
Tc 98.00 Tc.upf
Tm 168.93 Tm.upf
Co 58.93 Co.upf
ATOMIC_POSITIONS crystal
Tc 0.833 0.750 0.959
Tc 0.167 0.250 0.041
Tm 0.413 0.750 0.093
Tm 0.457 0.750 0.627
Tm 0.007 0.502 0.275
Tm 0.993 0.002 0.725
Tm 0.007 0.998 0.275
Tm 0.587 0.250 0.907
Tm 0.993 0.498 0.725
Tm 0.543 0.250 0.373
Co 0.252 0.250 0.567
Co 0.748 0.750 0.433
CELL_PARAMETERS angstrom
5.507 0.000 -1.822
0.000 6.384 0.000
-0.178 0.000 7.874
```

Properties
* distance to the lowest polymorph of the same formula: 0 meV per atom
* space-group type: No. 11
* formation energy: -0.1075 eV/atom
* crystal system: monoclinic
* N(E_F): 0.63 states/eV/atom

# 4
First-principles (PBE) data for a geometry-optimized KNa2UCl8 structure, as listed in the Alexandria database. Values from VASP.

Structure (Quantum ESPRESSO input):
```
&SYSTEM
  ibrav = 0, nat = 12, ntyp = 4
/
ATOMIC_SPECIES
Cl 35.45 Cl.upf
Na 22.99 Na.upf
U 238.03 U.upf
K 39.10 K.upf
ATOMIC_POSITIONS crystal
Cl 0.822 0.205 0.195
Cl 0.689 0.693 0.530
Cl 0.311 0.307 0.470
Cl 0.178 0.795 0.805
Cl 0.832 0.218 0.808
Cl 0.168 0.782 0.192
Cl 0.718 0.757 0.030
Cl 0.282 0.243 0.970
Na 0.548 0.555 0.308
Na 0.452 0.445 0.692
U 0.000 0.000 0.000
K 0.000 0.000 0.500
CELL_PARAMETERS angstrom
-4.935 2.751 3.839
-3.198 -5.735 0.520
3.748 -2.322 8.225
```

Properties
* space-group type: No. 2
* raw formation energy: -1.705 eV/atom
* crystal system: triclinic

Calculated VASP energy (eV/atom), listed in the same order as above: -5.57; -7.77; -6.00; -4.19
Calculated magnetization (μB per formula unit), listed in the same order as above: 0.00; 0.00; 0.00; 0.93